Record 1
DFT (GGA-PBE) results for a relaxed structure of CsZn3Ir.

abc: 6.8578 6.8578 6.8578
angles: 90.00 90.00 90.00
With the nearest neighbours (Å) after each atom.
Element x y z (fractional)
Cs1 0.0000 0.0000 0.0000  6 Zn 3.43
Zn1 0.0000 0.0000 0.5000  2 Cs 3.43
Zn2 0.0000 0.5000 0.0000  2 Cs 3.43
Zn3 0.5000 0.0000 0.0000  2 Cs 3.43
Ir1 0.5000 0.5000 0.5000  12 Zn 4.85

Output
- energy of formation from the pure elements (kJ per mole of atoms) = 172.2
- excess energy over the best structure of this formula in the dataset (eV per atom) = 1.8377
- size of the total moment (μB/cell) = 1.999
- uncorrected energy (eV/atom) = -0.922

***

Record 2
DFT (GGA-PBE) results for a relaxed structure of CsZnIr3.

abc: 4.7849 4.7849 4.7849
angles: 90.00 90.00 90.00
With the nearest neighbours (Å) after each atom.
Element x y z (fractional)
Cs1 0.0000 0.0000 0.0000  12 Ir 3.38
Zn1 0.5000 0.5000 0.5000  6 Ir 2.39
Ir1 0.0000 0.5000 0.5000  2 Zn 2.39
Ir2 0.5000 0.0000 0.5000  2 Zn 2.39
Ir3 0.5000 0.5000 0.0000  2 Zn 2.39

Output
- energy of formation from the pure elements (kJ per mole of atoms) = 154.9
- excess energy over the best structure of this formula in the dataset (eV per atom) = 0.0000
- size of the total moment (μB/cell) = 0.000
- uncorrected energy (eV/atom) = -4.137

***

Record 3
DFT (GGA-PBE) results for a relaxed structure of Cs2Zn2Ir.

abc: 10.2168 10.2168 3.3452
angles: 90.00 90.00 90.00
With the nearest neighbours (Å) after each atom.
Element x y z (fractional)
Cs1 0.2024 0.2976 0.0000  2 Cs 3.35, 6 Zn 3.44-3.61, 2 Ir 3.68
Cs2 0.2976 0.7976 0.0000  2 Cs 3.35, 6 Zn 3.44-3.61, 2 Ir 3.68
Cs3 0.7024 0.2024 0.0000  2 Cs 3.35, 6 Zn 3.44-3.61, 2 Ir 3.68
Cs4 0.7976 0.7024 0.0000  2 Cs 3.35, 6 Zn 3.44-3.61, 2 Ir 3.68
Zn1 0.0898 0.5898 0.5000  1 Zn 2.59
Zn2 0.4102 0.0898 0.5000  1 Zn 2.59
Zn3 0.5898 0.9102 0.5000  1 Zn 2.59
Zn4 0.9102 0.4102 0.5000  1 Zn 2.59
Ir1 0.0000 0.0000 0.0000  2 Ir 3.35, 4 Cs 3.68
Ir2 0.5000 0.5000 0.0000  2 Ir 3.35, 4 Cs 3.68

Output
- energy of formation from the pure elements (kJ per mole of atoms) = 99.2
- excess energy over the best structure of this formula in the dataset (eV per atom) = 0.7199
- size of the total moment (μB/cell) = 2.004
- uncorrected energy (eV/atom) = -1.595

***

Record 4
DFT (GGA-PBE) results for a relaxed structure of Cs2ZrZnIr.

abc: 7.1064 7.1064 4.8931
angles: 90.00 90.00 90.00
With the nearest neighbours (Å) after each atom.
Element x y z (fractional)
Cs1 0.0000 0.5000 0.0000  2 Ir 3.55
Cs2 0.5000 0.0000 0.0000  2 Ir 3.55
Zr1 0.0000 0.0000 0.5000  2 Ir 2.45
Zn1 0.5000 0.5000 0.5000  8 Cs 4.31
Ir1 0.0000 0.0000 0.0000  2 Zr 2.45

Output
- energy of formation from the pure elements (kJ per mole of atoms) = 70.9
- size of the total moment (μB/cell) = 0.000
- uncorrected energy (eV/atom) = -3.344

***

Record 5
DFT (GGA-PBE) results for a relaxed structure of CsZr3Ir.

abc: 5.1297 5.1297 5.1297
angles: 90.00 90.00 90.00
With the nearest neighbours (Å) after each atom.
Element x y z (fractional)
Cs1 0.0000 0.0000 0.0000  6 Zr 2.56
Zr1 0.0000 0.0000 0.5000  2 Cs 2.56
Zr2 0.0000 0.5000 0.0000  2 Cs 2.56
Zr3 0.5000 0.0000 0.0000  2 Cs 2.56
Ir1 0.5000 0.5000 0.5000  12 Zr 3.63

Output
- energy of formation from the pure elements (kJ per mole of atoms) = 224.5
- excess energy over the best structure of this formula in the dataset (eV per atom) = 1.8535
- size of the total moment (μB/cell) = 0.000
- uncorrected energy (eV/atom) = -4.746

***

Record 6
DFT (GGA-PBE) results for a relaxed structure of Cs2Zr2Ir.

abc: 6.9208 6.9208 6.8960
angles: 90.00 90.00 90.00
With the nearest neighbours (Å) after each atom.
Element x y z (fractional)
Cs1 0.2160 0.2840 0.0000  4 Cs 3.49, 2 Zr 3.65
Cs2 0.2840 0.7840 0.0000  4 Cs 3.49, 2 Zr 3.65
Cs3 0.7160 0.2160 0.0000  4 Cs 3.49, 2 Zr 3.65
Cs4 0.7840 0.7160 0.0000  4 Cs 3.49, 2 Zr 3.65
Zr1 0.1616 0.6616 0.5000  2 Ir 2.60
Zr2 0.3384 0.1616 0.5000  2 Ir 2.60
Zr3 0.6616 0.8384 0.5000  2 Ir 2.60
Zr4 0.8384 0.3384 0.5000  2 Ir 2.60
Ir1 0.0000 0.0000 0.5000  4 Zr 2.60
Ir2 0.5000 0.5000 0.5000  4 Zr 2.60

Output
- energy of formation from the pure elements (kJ per mole of atoms) = 48.2
- excess energy over the best structure of this formula in the dataset (eV per atom) = 0.0000
- size of the total moment (μB/cell) = 0.003
- uncorrected energy (eV/atom) = -5.034

***

Record 7
DFT (GGA-PBE) results for a relaxed structure of CsZrIr2.

abc: 4.9368 4.9368 4.9368
angles: 60.00 60.00 60.00
With the nearest neighbours (Å) after each atom.
Element x y z (fractional)
Cs1 0.0000 0.0000 0.0000  8 Ir 3.02
Zr1 0.5000 0.5000 0.5000  8 Ir 3.02
Ir1 0.2500 0.2500 0.2500  4 Zr 3.02, 4 Cs 3.02
Ir2 0.7500 0.7500 0.7500  4 Zr 3.02, 4 Cs 3.02

Output
- energy of formation from the pure elements (kJ per mole of atoms) = 83.4
- excess energy over the best structure of this formula in the dataset (eV per atom) = 0.1189
- size of the total moment (μB/cell) = 0.000
- uncorrected energy (eV/atom) = -5.917

***

Record 8
DFT (GGA-PBE) results for a relaxed structure of CsZr3Ir.

abc: 5.2676 5.2676 5.2676
angles: 90.00 90.00 90.00
With the nearest neighbours (Å) after each atom.
Element x y z (fractional)
Cs1 0.0000 0.0000 0.0000  12 Zr 3.72
Zr1 0.0000 0.5000 0.5000  2 Ir 2.63
Zr2 0.5000 0.0000 0.5000  2 Ir 2.63
Zr3 0.5000 0.5000 0.0000  2 Ir 2.63
Ir1 0.5000 0.5000 0.5000  6 Zr 2.63

Output
- energy of formation from the pure elements (kJ per mole of atoms) = 45.6
- excess energy over the best structure of this formula in the dataset (eV per atom) = 0.0000
- size of the total moment (μB/cell) = 0.000
- uncorrected energy (eV/atom) = -6.599

***

Record 9
DFT (GGA-PBE) results for a relaxed structure of Cs2Zr2Ir.

abc: 9.5883 9.5883 9.5883
angles: 154.58 154.58 36.26
With the nearest neighbours (Å) after each atom.
Element x y z (fractional)
Cs1 0.2500 0.7500 0.5000  4 Cs 2.98
Cs2 0.7500 0.2500 0.5000  4 Cs 2.98
Zr1 0.0676 0.0676 0.0000  1 Zr 2.46
Zr2 0.9324 0.9324 0.0000  1 Zr 2.46
Ir1 0.5000 0.5000 0.0000  8 Zr 3.23

Output
- energy of formation from the pure elements (kJ per mole of atoms) = 136.0
- excess energy over the best structure of this formula in the dataset (eV per atom) = 0.9106
- size of the total moment (μB/cell) = 0.000
- uncorrected energy (eV/atom) = -4.123

***

Record 10
DFT (GGA-PBE) results for a relaxed structure of CsZrIr2.

abc: 6.3104 6.3104 6.3104
angles: 103.84 103.84 121.45
With the nearest neighbours (Å) after each atom.
Element x y z (fractional)
Cs1 0.0000 0.0000 0.0000  8 Ir 3.08-3.44, 2 Zr 3.09
Cs2 0.7500 0.2500 0.5000  8 Ir 3.08-3.44, 2 Zr 3.09
Zr1 0.2500 0.7500 0.5000  4 Ir 2.65
Zr2 0.5000 0.5000 0.0000  4 Ir 2.65
Ir1 0.1655 0.1250 0.5405  2 Zr 2.65
Ir2 0.3750 0.8345 0.9595  2 Zr 2.65
Ir3 0.5845 0.6250 0.4595  2 Zr 2.65
Ir4 0.8750 0.4155 0.0405  2 Zr 2.65

Output
- energy of formation from the pure elements (kJ per mole of atoms) = 71.9
- excess energy over the best structure of this formula in the dataset (eV per atom) = 0.0000
- size of the total moment (μB/cell) = 0.000
- uncorrected energy (eV/atom) = -6.036

***

Record 11
DFT (GGA-PBE) results for a relaxed structure of Cs8K.

abc: 12.0337 12.0337 12.0337
angles: 95.79 95.79 142.95
With the nearest neighbours (Å) after each atom.
Element x y z (fractional)
Cs1 0.0000 0.3281 0.3281  1 K 5.29, 11 Cs 5.35-5.55
Cs2 0.0000 0.6719 0.6719  1 K 5.29, 11 Cs 5.35-5.55
Cs3 0.3281 0.0000 0.3281  1 K 5.29, 11 Cs 5.35-5.55
Cs4 0.3387 0.3387 0.6773  10 Cs 5.21-5.57, 2 K 5.31
Cs5 0.3387 0.6613 0.0000  10 Cs 5.21-5.57, 2 K 5.31
Cs6 0.6613 0.3387 0.0000  10 Cs 5.21-5.57, 2 K 5.31
Cs7 0.6613 0.6613 0.3227  10 Cs 5.21-5.57, 2 K 5.31
Cs8 0.6719 0.0000 0.6719  1 K 5.29, 11 Cs 5.35-5.55
K1 0.0000 0.0000 0.0000  12 Cs 5.29-5.31

Output
- energy of formation from the pure elements (kJ per mole of atoms) = 0.3
- size of the total moment (μB/cell) = 0.000
- uncorrected energy (eV/atom) = -0.877

***

Record 12
DFT (GGA-PBE) results for a relaxed structure of Cs3K7.

abc: 15.7123 15.7123 8.1691
angles: 90.00 90.00 120.00
With the nearest neighbours (Å) after each atom.
Element x y z (fractional)
Cs1 0.2094 0.4188 0.0000  9 K 4.71-5.03
Cs2 0.2094 0.7906 0.0000  9 K 4.71-5.03
Cs3 0.4188 0.2094 0.5000  9 K 4.71-5.03
Cs4 0.5812 0.7906 0.0000  9 K 4.71-5.03
Cs5 0.7906 0.2094 0.5000  9 K 4.71-5.03
Cs6 0.7906 0.5812 0.5000  9 K 4.71-5.03
K1 0.0551 0.5276 0.6030  3 K 4.12-4.35
K2 0.1040 0.2080 0.4936  6 K 4.90-4.97, 4 Cs 4.94-5.03
K3 0.1040 0.8960 0.4936  6 K 4.90-4.97, 4 Cs 4.94-5.03
K4 0.2080 0.1040 0.9936  6 K 4.90-4.97, 4 Cs 4.94-5.03
K5 0.3333 0.6667 0.4055  3 K 4.12
K6 0.4724 0.5276 0.6030  3 K 4.12-4.35
K7 0.4724 0.9449 0.6030  3 K 4.12-4.35
K8 0.5276 0.0551 0.1030  3 K 4.12-4.35
K9 0.5276 0.4724 0.1030  3 K 4.12-4.35
K10 0.6667 0.3333 0.9055  3 K 4.12
K11 0.7920 0.8960 0.4936  6 K 4.90-4.97, 4 Cs 4.94-5.03
K12 0.8960 0.1040 0.9936  6 K 4.90-4.97, 4 Cs 4.94-5.03
K13 0.8960 0.7920 0.9936  6 K 4.90-4.97, 4 Cs 4.94-5.03
K14 0.9449 0.4724 0.1030  3 K 4.12-4.35

Output
- energy of formation from the pure elements (kJ per mole of atoms) = 4.5
- excess energy over the best structure of this formula in the dataset (eV per atom) = 0.0346
- size of the total moment (μB/cell) = 0.000
- uncorrected energy (eV/atom) = -0.977

***

V for every record listed, in sequence, given in A^3/atom: 64.5, 21.9, 34.9, 49.4, 27.0, 33.0, 21.3, 29.2, 32.5, 23.4, 110.6, 87.3.